Arrangement w

Here is an optimized crystal structure of Au2SN from Alexandria via LeMat-Bulk. Energies are from PBE.

Unit cell a=4.857 b=2.673 c=7.121 alpha=90.00 beta=90.36 gamma=90.00
Space group Pm (No. 6)
Symmetry-distinct sites (fractional):
Au 0.000 0.000 0.000 x1
Au 0.500 0.500 0.000 x1
S 0.407 0.500 0.503 x1
N 0.210 0.000 0.500 x1

Properties
DOS(E_F): 1.54 states/eV/cell

=====

Arrangement x

Here is an optimized crystal structure of Au2SN from Alexandria via LeMat-Bulk. Energies are from PBE.

Unit cell a=4.855 b=4.855 c=12.382 alpha=90.00 beta=90.00 gamma=90.00
Space group I-42d (No. 122)
Symmetry-distinct sites (fractional):
Au 0.160 0.250 0.125 x8
S 0.000 0.000 0.500 x4
N 0.000 0.000 0.000 x4

Properties
DOS(E_F): 14.15 states/eV/cell

=====

Arrangement y

Here is an optimized crystal structure of Au2SN from Alexandria via LeMat-Bulk. Energies are from PBE.

Unit cell a=3.342 b=3.256 c=6.869 alpha=90.00 beta=98.17 gamma=90.00
Space group Pm (No. 6)
Symmetry-distinct sites (fractional):
Au 0.000 0.000 0.000 x1
Au 0.400 0.500 0.754 x1
S 0.422 0.000 0.468 x1
N 0.049 0.000 0.312 x1

Properties
DOS(E_F): 1.79 states/eV/cell

=====

Arrangement z

Here is an optimized crystal structure of Au2SN from Alexandria via LeMat-Bulk. Energies are from PBE.

Unit cell a=3.448 b=3.555 c=6.379 alpha=86.36 beta=74.35 gamma=89.18
Space group P1 (No. 1)
Symmetry-distinct sites (fractional):
Au 0.000 0.000 0.000 x1
Au 0.340 0.142 0.318 x1
S 0.704 0.273 0.584 x1
N 0.611 0.960 0.779 x1

Properties
DOS(E_F): 0.94 states/eV/cell

=====

Which is the most stable structure? arrangement w is the most stable.

=====

Arrangement w

Here is an optimized crystal structure of Au2SN from Alexandria via LeMat-Bulk. Energies are from PBE.

Unit cell a=15.004 b=2.920 c=3.365 alpha=90.00 beta=98.92 gamma=90.00
Space group Cm (No. 8)
Symmetry-distinct sites (fractional):
Au 0.000 0.000 0.000 x2
Au 0.125 0.500 0.613 x2
S 0.289 0.500 0.553 x2
N 0.356 0.500 0.940 x2

Properties
DOS(E_F): 3.13 states/eV/cell

=====

Arrangement x

Here is an optimized crystal structure of Au2SN from Alexandria via LeMat-Bulk. Energies are from PBE.

Unit cell a=2.673 b=4.857 c=7.589 alpha=108.31 beta=99.92 gamma=90.00
Space group P1 (No. 1)
Symmetry-distinct sites (fractional):
Au 0.000 0.000 0.000 x1
Au 0.497 0.497 0.994 x1
S 0.242 0.125 0.495 x1
N 0.743 0.928 0.498 x1

Properties
DOS(E_F): 1.76 states/eV/cell

=====

Arrangement y

Here is an optimized crystal structure of Au2SN from Alexandria via LeMat-Bulk. Energies are from PBE.

Unit cell a=3.488 b=4.070 c=6.242 alpha=107.61 beta=90.13 gamma=115.18
Space group P1 (No. 1)
Symmetry-distinct sites (fractional):
Au 0.000 0.000 0.000 x1
Au 0.279 0.558 0.698 x1
S 0.592 0.183 0.449 x1
N 0.625 0.251 0.211 x1

Properties
DOS(E_F): 1.27 states/eV/cell

=====

Arrangement z

Here is an optimized crystal structure of Au2SN from Alexandria via LeMat-Bulk. Energies are from PBE.

Unit cell a=3.6778 b=3.6778 c=5.8239 alpha=90.00 beta=90.00 gamma=120.00
Space group P3m1 (No. 156)
Symmetry-distinct sites (fractional):
Au 0.0000 0.0000 0.0000 x1
Au 0.3333 0.6667 0.6932 x1
S 0.6667 0.3333 0.2348 x1
N 0.6667 0.3333 0.5073 x1

Properties
DOS(E_F): 1.52 states/eV/cell

=====

Which is the most stable structure? arrangement x is the most stable.

=====

Arrangement w

Here is an optimized crystal structure of Au2SN from Alexandria via LeMat-Bulk. Energies are from PBE.

Unit cell a=4.425 b=3.505 c=5.332 alpha=90.00 beta=112.64 gamma=90.00
Space group Pm (No. 6)
Symmetry-distinct sites (fractional):
Au 0.000 0.000 0.000 x1
Au 0.467 0.500 0.777 x1
S 0.832 0.000 0.363 x1
N 0.146 0.000 0.660 x1

Properties
DOS(E_F): 1.51 states/eV/cell

=====

Arrangement x

Here is an optimized crystal structure of Au2SN from Alexandria via LeMat-Bulk. Energies are from PBE.

Unit cell a=2.707 b=3.806 c=7.021 alpha=90.00 beta=90.00 gamma=90.00
Space group Pmm2 (No. 25)
Symmetry-distinct sites (fractional):
Au 0.000 0.000 0.000 x1
Au 0.500 0.500 0.243 x1
S 0.500 0.000 0.521 x1
N 0.000 0.000 0.667 x1

Properties
DOS(E_F): 1.01 states/eV/cell

=====

Which is the most stable structure? arrangement x is the most stable.

=====

Arrangement w

Here is an optimized crystal structure of SbAuS2N from Alexandria via LeMat-Bulk. Energies are from PBE.

Unit cell a=5.054 b=5.054 c=3.815 alpha=90.00 beta=90.00 gamma=90.00
Space group P4/mmm (No. 123)
Symmetry-distinct sites (fractional):
Sb 0.000 0.000 0.000 x1
Au 0.500 0.500 0.500 x1
S 0.000 0.500 0.500 x2
N 0.500 0.500 0.000 x1

Properties
DOS(E_F): 2.17 states/eV/cell

=====

Arrangement x

Here is an optimized crystal structure of SbAuS2N from Alexandria via LeMat-Bulk. Energies are from PBE.

Unit cell a=5.096 b=5.096 c=3.912 alpha=90.00 beta=90.00 gamma=90.00
Space group P4/mmm (No. 123)
Symmetry-distinct sites (fractional):
Sb 0.000 0.000 0.000 x1
Au 0.500 0.500 0.500 x1
S 0.000 0.500 0.000 x2
N 0.000 0.000 0.500 x1

Properties
DOS(E_F): 5.51 states/eV/cell

=====

Which is the most stable structure? arrangement w is the most stable.

=====

Arrangement w

Here is an optimized crystal structure of AuSeSN2 from Alexandria via LeMat-Bulk. Energies are from PBE.

Unit cell a=3.655 b=3.655 c=6.420 alpha=90.00 beta=90.00 gamma=90.00
Space group P4/mmm (No. 123)
Symmetry-distinct sites (fractional):
Au 0.000 0.000 0.000 x1
Se 0.500 0.500 0.500 x1
S 0.500 0.500 0.000 x1
N 0.000 0.500 0.500 x2

Properties
DOS(E_F): 2.63 states/eV/cell

=====

Arrangement x

Here is an optimized crystal structure of AuSeSN2 from Alexandria via LeMat-Bulk. Energies are from PBE.

Unit cell a=3.869 b=3.869 c=7.921 alpha=90.00 beta=90.00 gamma=90.00
Space group P4/mmm (No. 123)
Symmetry-distinct sites (fractional):
Au 0.000 0.000 0.000 x1
Se 0.500 0.500 0.500 x1
S 0.000 0.000 0.500 x1
N 0.000 0.500 0.000 x2

Properties
DOS(E_F): 4.06 states/eV/cell

=====

Arrangement y

Here is an optimized crystal structure of AuSeSN2 from Alexandria via LeMat-Bulk. Energies are from PBE.

Unit cell a=3.539 b=3.539 c=7.873 alpha=90.00 beta=90.00 gamma=90.00
Space group P4/mmm (No. 123)
Symmetry-distinct sites (fractional):
Au 0.000 0.000 0.000 x1
Se 0.500 0.500 0.000 x1
S 0.500 0.500 0.500 x1
N 0.000 0.500 0.500 x2

Properties
DOS(E_F): 3.47 states/eV/cell

=====

Which is the most stable structure? arrangement y is the most stable.

=====

Arrangement w

Here is an optimized crystal structure of AuSeS2N from Alexandria via LeMat-Bulk. Energies are from PBE.

Unit cell a=4.947 b=4.947 c=3.616 alpha=90.00 beta=90.00 gamma=90.00
Space group P4/mmm (No. 123)
Symmetry-distinct sites (fractional):
Au 0.000 0.000 0.000 x1
Se 0.500 0.500 0.500 x1
S 0.000 0.500 0.500 x2
N 0.500 0.500 0.000 x1

Properties
DOS(E_F): 5.30 states/eV/cell

=====

Arrangement x

Here is an optimized crystal structure of AuSeS2N from Alexandria via LeMat-Bulk. Energies are from PBE.

Unit cell a=5.043 b=5.043 c=3.767 alpha=90.00 beta=90.00 gamma=90.00
Space group P4/mmm (No. 123)
Symmetry-distinct sites (fractional):
Au 0.000 0.000 0.000 x1
Se 0.500 0.500 0.500 x1
S 0.000 0.500 0.000 x2
N 0.000 0.000 0.500 x1

Properties
DOS(E_F): 4.33 states/eV/cell

=====

Which is the most stable structure? arrangement w is the most stable.

=====

Arrangement w

Here is an optimized crystal structure of AuSe2SN from Alexandria via LeMat-Bulk. Energies are from PBE.

Unit cell a=5.165 b=5.165 c=4.786 alpha=90.00 beta=90.00 gamma=90.00
Space group P4/mmm (No. 123)
Symmetry-distinct sites (fractional):
Au 0.000 0.000 0.000 x1
Se 0.000 0.500 0.000 x2
S 0.000 0.000 0.500 x1
N 0.500 0.500 0.500 x1

Properties
DOS(E_F): 6.66 states/eV/cell

=====

Arrangement x

Here is an optimized crystal structure of AuSe2SN from Alexandria via LeMat-Bulk. Energies are from PBE.

Unit cell a=5.239 b=5.239 c=3.249 alpha=90.00 beta=90.00 gamma=90.00
Space group P4/mmm (No. 123)
Symmetry-distinct sites (fractional):
Au 0.000 0.000 0.000 x1
Se 0.000 0.500 0.500 x2
S 0.500 0.500 0.500 x1
N 0.500 0.500 0.000 x1

Properties
DOS(E_F): 5.10 states/eV/cell

=====

Arrangement y

Here is an optimized crystal structure of AuSe2SN from Alexandria via LeMat-Bulk. Energies are from PBE.

Unit cell a=5.280 b=5.280 c=3.756 alpha=90.00 beta=90.00 gamma=90.00
Space group P4/mmm (No. 123)
Symmetry-distinct sites (fractional):
Au 0.000 0.000 0.000 x1
Se 0.000 0.500 0.000 x2
S 0.500 0.500 0.500 x1
N 0.000 0.000 0.500 x1

Properties
DOS(E_F): 4.60 states/eV/cell

=====

Which is the most stable structure? arrangement x is the most stable.

=====

Arrangement w

Here is an optimized crystal structure of SiAuSN2 from Alexandria via LeMat-Bulk. Energies are from PBE.

Unit cell a=4.016 b=4.016 c=5.302 alpha=90.00 beta=90.00 gamma=90.00
Space group P4/mmm (No. 123)
Symmetry-distinct sites (fractional):
Si 0.000 0.000 0.000 x1
Au 0.500 0.500 0.500 x1
S 0.500 0.500 0.000 x1
N 0.000 0.500 0.500 x2

Properties
DOS(E_F): 1.98 states/eV/cell

=====

Arrangement x

Here is an optimized crystal structure of SiAuSN2 from Alexandria via LeMat-Bulk. Energies are from PBE.

Unit cell a=3.451 b=3.451 c=6.620 alpha=90.00 beta=90.00 gamma=90.00
Space group P4/mmm (No. 123)
Symmetry-distinct sites (fractional):
Si 0.000 0.000 0.000 x1
Au 0.500 0.500 0.500 x1
S 0.000 0.000 0.500 x1
N 0.000 0.500 0.000 x2

Properties
DOS(E_F): 2.83 states/eV/cell

=====

Which is the most stable structure? arrangement x is the most stable.